[1]
A plane-wave DFT calculation with PBE was carried out for an optimized crystal structure of TaAgTe2F.

a b c (Å): 5.475 4.059 5.475
angles (deg): 90.00 90.00 90.00
Positions (direct):
F1 0.000 0.500 0.000
Te1 0.000 0.000 0.500
Te2 0.500 0.000 0.000
Ag1 0.500 0.500 0.500
Ta1 0.000 0.000 0.000

Properties
- energy relative to the elements, uncorrected (meV/atom) = -523


[2]
A plane-wave DFT calculation with PBE was carried out for an optimized crystal structure of BeCu2Tc.

a b c (Å): 4.971 4.971 4.971
angles (deg): 150.39 127.51 61.43
Positions (direct):
Be1 0.238 0.738 0.500
Tc1 0.480 0.480 0.000
Cu1 0.021 0.021 0.000
Cu2 0.761 0.261 0.500

Properties
- energy of formation (meV per atom) = 175


[3]
A plane-wave DFT calculation with PBE was carried out for an optimized crystal structure of Pm4Nd2Mg.

a b c (Å): 6.090 6.720 11.794
angles (deg): 90.00 105.12 90.00
Positions (direct):
Pm1 0.642 0.500 0.284
Pm2 0.010 0.750 0.876
Pm3 0.990 0.250 0.124
Pm4 0.642 0.000 0.284
Pm5 0.851 0.250 0.559
Pm6 0.358 0.000 0.716
Pm7 0.358 0.500 0.716
Pm8 0.149 0.750 0.441
Nd1 0.591 0.750 0.007
Nd2 0.409 0.250 0.993
Nd3 0.281 0.250 0.428
Nd4 0.719 0.750 0.572
Mg1 0.145 0.750 0.166
Mg2 0.855 0.250 0.834

Properties
- energy of formation (meV per atom) = 79
- ΔE to the lowest computed polymorph (meV per atom) = 0


[4]
A plane-wave DFT calculation with PBE was carried out for an optimized crystal structure of MnFe2Rh.

a b c (Å): 8.494 8.494 8.494
angles (deg): 17.62 17.62 17.62
Site moments in Bohr magnetons follow the coordinates.
Positions (direct):
Fe1 0.997 0.997 0.997  2.10
Fe2 0.503 0.503 0.503  2.10
Mn1 0.250 0.250 0.250  -1.95
Rh1 0.750 0.750 0.750  0.75

Properties
- energy of formation (meV per atom) = 132


[5]
A plane-wave DFT calculation with PBE was carried out for an optimized crystal structure of Ho4HPb2.

a b c (Å): 6.330 6.498 9.126
angles (deg): 90.00 109.23 90.00
Positions (direct):
Ho1 0.537 0.501 0.301
Ho2 0.138 0.750 0.947
Ho3 0.862 0.250 0.053
Ho4 0.537 0.999 0.301
Ho5 0.933 0.250 0.654
Ho6 0.463 0.001 0.699
Ho7 0.463 0.499 0.699
Ho8 0.067 0.750 0.346
H1 0.292 0.750 0.205
H2 0.708 0.250 0.795
Pb1 0.687 0.750 0.028
Pb2 0.313 0.250 0.972
Pb3 0.147 0.250 0.396
Pb4 0.853 0.750 0.604

Properties
- ΔE to the lowest computed polymorph (meV per atom) = 0


[6]
A plane-wave DFT calculation with PBE was carried out for an optimized crystal structure of Pr2ZnGa3Cu4.

a b c (Å): 4.278 4.278 9.987
angles (deg): 90.00 90.00 90.00
Positions (direct):
Pr1 0.500 0.000 0.245
Pr2 0.000 0.500 0.755
Zn1 0.500 0.500 0.500
Ga1 0.000 0.000 0.500
Ga2 0.500 0.000 0.871
Ga3 0.000 0.500 0.129
Cu1 0.500 0.500 0.000
Cu2 0.000 0.000 0.000
Cu3 0.500 0.000 0.629
Cu4 0.000 0.500 0.371

Properties
- energy of formation (meV per atom) = -389


[7]
A plane-wave DFT calculation with PBE was carried out for an optimized crystal structure of YEr2GaN.

a b c (Å): 4.755 4.696 4.696
angles (deg): 90.00 90.00 90.00
Positions (direct):
Y1 0.500 0.000 0.000
Er1 0.000 0.000 0.500
Er2 0.000 0.500 0.000
Ga1 0.500 0.500 0.500
N1 0.000 0.000 0.000

Properties
- energy relative to the elements, uncorrected (meV/atom) = -996


[8]
A plane-wave DFT calculation with PBE was carried out for an optimized crystal structure of NdSn4.

a b c (Å): 5.861 5.861 5.861
angles (deg): 90.00 90.00 90.00
Positions (direct):
Nd1 0.500 0.500 0.500
Sn1 0.000 0.000 0.000
Sn2 0.500 0.000 0.500
Sn3 0.000 0.500 0.500
Sn4 0.500 0.500 0.000

Properties
- energy of formation (meV per atom) = 598
- ΔE to the lowest computed polymorph (meV per atom) = 960


[9]
A plane-wave DFT calculation with PBE was carried out for an optimized crystal structure of RbSbPd3.

a b c (Å): 5.124 5.124 5.124
angles (deg): 90.00 90.00 90.00
Positions (direct):
Sb1 0.000 0.000 0.000
Rb1 0.500 0.500 0.500
Pd1 0.000 0.500 0.000
Pd2 0.000 0.000 0.500
Pd3 0.500 0.000 0.000

Properties
- ΔE to the lowest computed polymorph (meV per atom) = 279
- energy relative to the elements, uncorrected (meV/atom) = 24